The following is a DFT calculation (GGA-PBEsol) of a relaxed structure of BeAl2Pb.

Lattice parameters (Å, degrees): 4.4482 4.4482 6.0943 110.89 110.89 43.09
Sites, in units of the cell vectors:
Be  0.0000  0.0000  0.0000
Al  0.2735  0.2735  0.9555
Al  0.4834  0.4834  0.6857
Pb  0.6746  0.6746  0.3822

The value obtained for the density of states at the Fermi level is 1.23 states/eV/cell. The value obtained for the total DFT energy (no corrections) is -14.8 eV per cell.

The following is a DFT calculation (GGA-PBEsol) of a relaxed structure of Be2AlPb.

Lattice parameters (Å, degrees): 7.9103 7.9103 7.9103 23.03 23.03 23.03
Sites, in units of the cell vectors:
Be  0.2429  0.2429  0.2429
Be  0.7571  0.7571  0.7571
Al  0.5000  0.5000  0.5000
Pb  0.0000  0.0000  0.0000

As for the relative energy among the computed polymorphs: 123 meV/atom. The value obtained for the density of states at the Fermi level is 1.16 states/eV/cell. The value obtained for the total DFT energy (no corrections) is -13.6 eV per cell.

The following is a DFT calculation (GGA-PBEsol) of a relaxed structure of Be2Al2Pb.

Lattice parameters (Å, degrees): 7.1067 7.1067 3.1955 90.00 90.00 90.00
Sites, in units of the cell vectors:
Be  0.1105  0.3895  0.0000
Be  0.3895  0.8895  0.0000
Be  0.6105  0.1105  0.0000
Be  0.8895  0.6105  0.0000
Al  0.1702  0.6702  0.5000
Al  0.3298  0.1702  0.5000
Al  0.6702  0.8298  0.5000
Al  0.8298  0.3298  0.5000
Pb  0.0000  0.0000  0.0000
Pb  0.5000  0.5000  0.0000

The value obtained for the density of states at the Fermi level is 3.87 states/eV/cell. The value obtained for the total DFT energy (no corrections) is -36.0 eV per cell.

The following is a DFT calculation (GGA-PBEsol) of a relaxed structure of BeAlPb.

Lattice parameters (Å, degrees): 4.1369 4.1369 3.9953 90.00 90.00 120.00
Sites, in units of the cell vectors:
Be  0.0000  0.0000  0.0000
Al  0.6667  0.3333  0.0000
Pb  0.3333  0.6667  0.5000

The value obtained for the density of states at the Fermi level is 1.27 states/eV/cell. The value obtained for the total DFT energy (no corrections) is -10.7 eV per cell.

The following is a DFT calculation (GGA-PBEsol) of a relaxed structure of Be2AlPb.

Lattice parameters (Å, degrees): 4.5743 4.5743 4.5743 60.00 60.00 60.00
Sites, in units of the cell vectors:
Be  0.0000  0.0000  0.0000
Be  0.2500  0.2500  0.2500
Al  0.5000  0.5000  0.5000
Pb  0.7500  0.7500  0.7500

As for the relative energy among the computed polymorphs: 336 meV/atom. The value obtained for the density of states at the Fermi level is 1.65 states/eV/cell. The value obtained for the total DFT energy (no corrections) is -12.8 eV per cell.

The following is a DFT calculation (GGA-PBEsol) of a relaxed structure of Be2AlPb.

Lattice parameters (Å, degrees): 2.9301 3.6411 6.1811 90.00 90.00 90.00
Sites, in units of the cell vectors:
Be  0.0000  0.0000  0.1732
Be  0.0000  0.0000  0.8268
Al  0.5000  0.5000  0.0000
Pb  0.5000  0.5000  0.5000

As for the relative energy among the computed polymorphs: 38 meV/atom. The value obtained for the density of states at the Fermi level is 1.55 states/eV/cell. The value obtained for the total DFT energy (no corrections) is -14.0 eV per cell.

The following is a DFT calculation (GGA-PBEsol) of a relaxed structure of Be2AlPb.

Lattice parameters (Å, degrees): 3.0093 3.0093 7.2214 90.00 90.00 90.00
Sites, in units of the cell vectors:
Be  0.0000  0.0000  0.0000
Be  0.5000  0.5000  0.1328
Al  0.5000  0.5000  0.7910
Pb  0.0000  0.0000  0.4219

As for the relative energy among the computed polymorphs: 0 meV/atom. The value obtained for the density of states at the Fermi level is 1.65 states/eV/cell. The value obtained for the total DFT energy (no corrections) is -14.1 eV per cell.

The following is a DFT calculation (GGA-PBEsol) of a relaxed structure of Be2AlPtPb.

Lattice parameters (Å, degrees): 4.3945 4.3945 5.3852 90.00 90.00 90.00
Sites, in units of the cell vectors:
Be  0.0000  0.5000  0.0000
Be  0.5000  0.0000  0.0000
Al  0.0000  0.0000  0.5000
Pt  0.5000  0.5000  0.5000
Pb  0.5000  0.5000  0.0000

The value obtained for the density of states at the Fermi level is 1.67 states/eV/cell. The value obtained for the total DFT energy (no corrections) is -17.2 eV per cell.

| no. | formation energy (meV per atom) |
| --- | --- |
| 1 | 344 |
| 2 | 619 |
| 3 | 439 |
| 4 | 470 |
| 5 | 832 |
| 6 | 534 |
| 7 | 496 |
| 8 | 1171 |